[1]
Material: SrTaCd2
Method: DFT, GGA-PBE
State: optimized geometry

Results
Energy relative to the elements: 11.809 kcal/mol of atoms
N(E_F): 0.864 states/eV per atom
E_tot: -3.3291 eV/atom
Crystal system: orthorhombic
M_tot: 0.2065 μB/atom

abc: 3.2426 4.5126 6.8820
angles: 90.00 90.00 90.00
Fractional positions:
Cd (0.0000, 0.0000, 0.9749)
Cd (0.5000, 0.5000, 0.2226)
Sr (0.0000, 0.0000, 0.4998)
Ta (0.5000, 0.5000, 0.8027)

[2]
Material: Sr2TaCd
Method: DFT, GGA-PBE
State: optimized geometry

Results
Energy relative to the elements: 15.914 kcal/mol of atoms
N(E_F): 1.176 states/eV per atom
E_tot: -3.3427 eV/atom
Crystal system: tetragonal
M_tot: 0.5664 μB/atom

abc: 3.4337 5.9960 5.9960
angles: 90.00 90.00 90.00
Fractional positions:
Cd (0.5000, 0.0000, 0.5000)
Sr (0.0000, 0.0000, 0.0000)
Sr (0.0000, 0.5000, 0.5000)
Ta (0.5000, 0.5000, 0.0000)

[3]
Material: SrTaCd2
Method: DFT, GGA-PBE
State: optimized geometry

Results
Energy relative to the elements: 9.459 kcal/mol of atoms
N(E_F): 0.819 states/eV per atom
E_tot: -3.4310 eV/atom
Crystal system: orthorhombic
M_tot: 0.0048 μB/atom

abc: 7.6185 5.6233 3.0330
angles: 90.00 66.53 124.75
Fractional positions:
Cd (0.0000, 0.0000, 0.0000)
Cd (0.5000, 0.0000, 0.5000)
Sr (0.0000, 0.5000, 0.5000)
Ta (0.5000, 0.5000, 0.0000)

[4]
Material: SrTaCd2
Method: DFT, GGA-PBE
State: optimized geometry

Results
Energy relative to the elements: 11.191 kcal/mol of atoms
N(E_F): 0.997 states/eV per atom
E_tot: -3.3559 eV/atom
Crystal system: orthorhombic
M_tot: 0.0825 μB/atom

abc: 6.4134 6.4134 6.4134
angles: 151.55 128.83 59.59
Fractional positions:
Cd (0.0031, 0.0031, 0.0000)
Cd (0.7705, 0.2705, 0.5000)
Sr (0.5009, 0.5009, 0.0000)
Ta (0.2256, 0.7256, 0.5000)

[5]
Material: SrTaCd2
Method: DFT, GGA-PBE
State: optimized geometry

Results
Energy relative to the elements: 6.938 kcal/mol of atoms
N(E_F): 0.719 states/eV per atom
E_tot: -3.5403 eV/atom
Crystal system: orthorhombic
M_tot: 0.0000 μB/atom

abc: 3.1352 4.2354 7.3050
angles: 90.00 90.00 90.00
Fractional positions:
Cd (0.0000, 0.0000, 0.9529)
Cd (0.0000, 0.0000, 0.5471)
Sr (0.5000, 0.5000, 0.2500)
Ta (0.5000, 0.5000, 0.7500)

[6]
Material: SrTaCd
Method: DFT, GGA-PBE
State: optimized geometry

Results
Energy relative to the elements: 13.211 kcal/mol of atoms
N(E_F): 1.069 states/eV per atom
Offset from the most stable computed form: 0.0000 eV per atom
E_tot: -4.2437 eV/atom
Crystal system: tetragonal
M_tot: 0.0023 μB/atom

abc: 7.7524 7.7524 3.1405
angles: 78.31 78.31 23.37
Fractional positions:
Cd (0.9851, 0.9851, 0.0149)
Sr (0.6670, 0.6670, 0.3330)
Ta (0.3479, 0.3479, 0.6521)

[7]
Material: Sr2TaCd
Method: DFT, GGA-PBE
State: optimized geometry

Results
Energy relative to the elements: 13.416 kcal/mol of atoms
N(E_F): 1.132 states/eV per atom
E_tot: -3.4511 eV/atom
Crystal system: orthorhombic
M_tot: 0.2144 μB/atom

abc: 6.9581 6.9581 6.9581
angles: 150.79 131.10 57.98
Fractional positions:
Cd (0.2795, 0.7795, 0.5000)
Sr (0.0260, 0.0260, 0.0000)
Sr (0.7292, 0.2292, 0.5000)
Ta (0.4653, 0.4653, 0.0000)

[8]
Material: SrTa2Cd2
Method: DFT, GGA-PBE
State: optimized geometry

Results
Energy relative to the elements: 18.533 kcal/mol of atoms
N(E_F): 0.868 states/eV per atom
Offset from the most stable computed form: 0.3437 eV per atom
E_tot: -4.6398 eV/atom
Crystal system: tetragonal
M_tot: 0.1839 μB/atom

abc: 4.6164 4.6164 6.9210
angles: 70.52 70.52 90.00
Fractional positions:
Sr (0.0000, 0.0000, 0.0000)
Cd (0.7500, 0.2500, 0.5000)
Cd (0.2500, 0.7500, 0.5000)
Ta (0.3982, 0.3982, 0.2035)
Ta (0.6018, 0.6018, 0.7965)

[9]
Material: Sr2TaCd
Method: DFT, GGA-PBE
State: optimized geometry

Results
Energy relative to the elements: 17.569 kcal/mol of atoms
N(E_F): 0.848 states/eV per atom
E_tot: -3.2710 eV/atom
Crystal system: tetragonal
M_tot: 0.8170 μB/atom

abc: 6.2043 6.2043 6.2043
angles: 133.41 133.41 68.01
Fractional positions:
Cd (0.7500, 0.2500, 0.5000)
Sr (0.0000, 0.0000, 0.0000)
Sr (0.2500, 0.7500, 0.5000)
Ta (0.5000, 0.5000, 0.0000)

[10]
Material: SrTaCd2
Method: DFT, GGA-PBE
State: optimized geometry

Results
Energy relative to the elements: 10.810 kcal/mol of atoms
N(E_F): 0.820 states/eV per atom
E_tot: -3.3724 eV/atom
Crystal system: monoclinic
M_tot: 0.0001 μB/atom

abc: 6.0826 6.0826 5.6612
angles: 70.37 70.37 29.20
Fractional positions:
Cd (0.0035, 0.0035, 0.0650)
Cd (0.7336, 0.7336, 0.7080)
Sr (0.4947, 0.4947, 0.5570)
Ta (0.2681, 0.2681, 0.1701)

[11]
Material: Sr2TaCd
Method: DFT, GGA-PBE
State: optimized geometry

Results
Energy relative to the elements: 15.816 kcal/mol of atoms
N(E_F): 1.144 states/eV per atom
E_tot: -3.3470 eV/atom
Crystal system: orthorhombic
M_tot: 0.5248 μB/atom

abc: 8.3074 6.0393 3.4310
angles: 90.00 65.60 124.78
Fractional positions:
Cd (0.5000, 0.5000, 0.0000)
Sr (0.0000, 0.0000, 0.0000)
Sr (0.5000, 0.0000, 0.5000)
Ta (0.0000, 0.5000, 0.5000)

[12]
Material: Sr2TaCd
Method: DFT, GGA-PBE
State: optimized geometry

Results
Energy relative to the elements: 12.944 kcal/mol of atoms
N(E_F): 1.065 states/eV per atom
E_tot: -3.4715 eV/atom
Crystal system: tetragonal
M_tot: 0.0000 μB/atom

abc: 3.4182 3.4182 10.0067
angles: 90.00 90.00 90.00
Fractional positions:
Cd (0.5000, 0.5000, 0.7500)
Sr (0.0000, 0.0000, 0.0060)
Sr (0.0000, 0.0000, 0.4940)
Ta (0.5000, 0.5000, 0.2500)

[13]
Material: Sr2TaCd
Method: DFT, GGA-PBE
State: optimized geometry

Results
Energy relative to the elements: 24.746 kcal/mol of atoms
N(E_F): 0.552 states/eV per atom
E_tot: -2.9597 eV/atom
Crystal system: tetragonal
M_tot: 0.2637 μB/atom

abc: 4.5907 4.5907 11.8147
angles: 78.80 78.80 90.00
Fractional positions:
Sr (0.6248, 0.1250, 0.2500)
Sr (0.1252, 0.6250, 0.2500)
Sr (0.3750, 0.3752, 0.7500)
Sr (0.8750, 0.8748, 0.7500)
Cd (0.5000, 0.5000, 0.0000)
Cd (0.2500, 0.7500, 0.5000)
Ta (0.0000, 0.0000, 0.0000)
Ta (0.7500, 0.2500, 0.5000)

[14]
Material: SrTaCd2
Method: DFT, GGA-PBE
State: optimized geometry

Results
Energy relative to the elements: 16.704 kcal/mol of atoms
N(E_F): 0.617 states/eV per atom
E_tot: -3.1168 eV/atom
Crystal system: cubic
M_tot: 0.7279 μB/atom

abc: 5.2158 5.2158 5.2158
angles: 60.00 60.00 60.00
Fractional positions:
Cd (0.0000, 0.0000, 0.0000)
Cd (0.2500, 0.2500, 0.2500)
Sr (0.5000, 0.5000, 0.5000)
Ta (0.7500, 0.7500, 0.7500)

[15]
Material: Sr2TaCd
Method: DFT, GGA-PBE
State: optimized geometry

Results
Energy relative to the elements: 17.154 kcal/mol of atoms
N(E_F): 0.819 states/eV per atom
E_tot: -3.2890 eV/atom
Crystal system: tetragonal
M_tot: 0.4239 μB/atom

abc: 6.0003 6.0003 6.0003
angles: 131.02 130.95 71.83
Fractional positions:
Cd (0.2500, 0.7500, 0.5000)
Sr (0.0000, 0.0000, 0.0000)
Sr (0.5000, 0.5000, 0.0000)
Ta (0.7500, 0.2500, 0.5000)

[16]
Material: Sr2TbCd
Method: DFT, GGA-PBE
State: optimized geometry

Results
Energy relative to the elements: 5.266 kcal/mol of atoms
N(E_F): 1.399 states/eV per atom
Offset from the most stable computed form: 0.2076 eV per atom
E_tot: -1.9989 eV/atom
Crystal system: trigonal
M_tot: 0.1639 μB/atom

abc: 3.8171 3.8171 12.6438
angles: 81.32 81.32 60.00
Fractional positions:
Sr (0.0959, 0.0959, 0.7122)
Sr (0.9041, 0.9041, 0.2878)
Tb (0.0000, 0.0000, 0.0000)
Cd (0.5000, 0.5000, 0.5000)

[17]
Material: SrTb2Cd2
Method: DFT, GGA-PBE
State: optimized geometry

Results
Energy relative to the elements: -2.668 kcal/mol of atoms
N(E_F): 0.975 states/eV per atom
E_tot: -2.6702 eV/atom
Crystal system: orthorhombic
M_tot: 0.1293 μB/atom

abc: 3.7557 3.9401 10.7743
angles: 79.46 90.00 90.00
Fractional positions:
Sr (0.0000, 0.0000, 0.0000)
Tb (0.0000, 0.1814, 0.6372)
Tb (0.0000, 0.8186, 0.3628)
Cd (0.5000, 0.3954, 0.2091)
Cd (0.5000, 0.6046, 0.7909)

[18]
Material: SrTbCd6
Method: DFT, GGA-PBE
State: optimized geometry

Results
Energy relative to the elements: -5.852 kcal/mol of atoms
N(E_F): 0.401 states/eV per atom
E_tot: -1.7291 eV/atom
Crystal system: orthorhombic
M_tot: 0.0000 μB/atom

abc: 5.1636 5.1638 7.3926
angles: 90.00 90.00 90.00
Fractional positions:
Sr (0.0000, 0.7478, 0.0000)
Tb (0.5000, 0.2526, 0.5000)
Cd (0.5000, 0.7527, 0.2601)
Cd (0.0000, 0.2475, 0.7398)
Cd (0.0000, 0.2475, 0.2602)
Cd (0.5000, 0.7527, 0.7399)
Cd (0.0000, 0.7479, 0.5000)
Cd (0.5000, 0.2512, 0.0000)

[19]
Material: Sr5TbCd6
Method: DFT, GGA-PBE
State: optimized geometry

Results
Energy relative to the elements: -7.286 kcal/mol of atoms
N(E_F): 0.692 states/eV per atom
E_tot: -1.8601 eV/atom
Crystal system: orthorhombic
M_tot: 0.0000 μB/atom

abc: 5.6445 8.0409 8.9246
angles: 90.00 71.56 90.00
Fractional positions:
Sr (0.6683, 0.5000, 0.6633)
Sr (0.3325, 0.0000, 0.3350)
Sr (0.0000, 0.5000, 0.0000)
Sr (0.6675, 0.0000, 0.6650)
Sr (0.3317, 0.5000, 0.3367)
Tb (0.0000, 0.0000, 0.0000)
Cd (0.8414, 0.7610, 0.3172)
Cd (0.8414, 0.2390, 0.3172)
Cd (0.5000, 0.2295, 0.0000)
Cd (0.5000, 0.7705, 0.0000)
Cd (0.1586, 0.7610, 0.6828)
Cd (0.1586, 0.2390, 0.6828)

[20]
Material: Sr2TbCd
Method: DFT, GGA-PBE
State: optimized geometry

Results
Energy relative to the elements: 0.479 kcal/mol of atoms
N(E_F): 1.156 states/eV per atom
Offset from the most stable computed form: 0.0000 eV per atom
E_tot: -2.2065 eV/atom
Crystal system: tetragonal
M_tot: 0.0000 μB/atom

abc: 4.2421 4.2421 8.2384
angles: 90.00 90.00 90.00
Fractional positions:
Sr (0.0000, 0.0000, 0.7718)
Sr (0.0000, 0.0000, 0.2282)
Tb (0.5000, 0.5000, 0.5000)
Cd (0.5000, 0.5000, 0.0000)

[21]
Material: SrTbCd
Method: DFT, GGA-PBE
State: optimized geometry

Results
Energy relative to the elements: -2.991 kcal/mol of atoms
N(E_F): 1.141 states/eV per atom
Offset from the most stable computed form: 0.0179 eV per atom
E_tot: -2.5388 eV/atom
Crystal system: tetragonal
M_tot: 0.0663 μB/atom

abc: 3.8705 3.8705 7.3479
angles: 105.27 105.27 90.00
Fractional positions:
Sr (0.0172, 0.0172, 0.0344)
Tb (0.3007, 0.3007, 0.6014)
Cd (0.6821, 0.6821, 0.3641)

[22]
Material: SrTb4Cd5
Method: DFT, GGA-PBE
State: optimized geometry

Results
Energy relative to the elements: -7.356 kcal/mol of atoms
N(E_F): 1.039 states/eV per atom
E_tot: -2.7968 eV/atom
Crystal system: tetragonal
M_tot: 0.0000 μB/atom

abc: 3.8071 3.8071 19.1355
angles: 90.00 90.00 90.00
Fractional positions:
Sr (0.0000, 0.0000, 0.0000)
Tb (0.0000, 0.0000, 0.2104)
Tb (0.0000, 0.0000, 0.4037)
Tb (0.0000, 0.0000, 0.5963)
Tb (0.0000, 0.0000, 0.7896)
Cd (0.5000, 0.5000, 0.1178)
Cd (0.5000, 0.5000, 0.3068)
Cd (0.5000, 0.5000, 0.5000)
Cd (0.5000, 0.5000, 0.6932)
Cd (0.5000, 0.5000, 0.8822)

[23]
Material: SrTbCd17
Method: DFT, GGA-PBE
State: optimized geometry

Results
Energy relative to the elements: -3.180 kcal/mol of atoms
N(E_F): 0.380 states/eV per atom
E_tot: -1.2889 eV/atom
Crystal system: trigonal
M_tot: 0.0000 μB/atom

abc: 7.7258 7.7258 7.7258
angles: 82.11 82.11 82.11
Fractional positions:
Sr (0.6649, 0.6649, 0.6649)
Tb (0.3275, 0.3275, 0.3275)
Cd (0.2977, 0.0023, 0.6982)
Cd (0.6982, 0.2977, 0.0023)
Cd (0.0023, 0.6982, 0.2977)
Cd (0.2977, 0.6982, 0.0023)
Cd (0.0023, 0.2977, 0.6982)
Cd (0.6982, 0.0023, 0.2977)
Cd (0.3481, 0.8724, 0.3481)
Cd (0.3481, 0.3481, 0.8724)
Cd (0.8724, 0.3481, 0.3481)
Cd (0.6236, 0.1983, 0.6236)
Cd (0.6236, 0.6236, 0.1983)
Cd (0.1983, 0.6236, 0.6236)
Cd (0.9813, 0.5206, 0.9813)
Cd (0.9813, 0.9813, 0.5206)
Cd (0.5206, 0.9813, 0.9813)
Cd (0.9083, 0.9083, 0.9083)
Cd (0.1058, 0.1058, 0.1058)

[24]
Material: SrTbCd
Method: DFT, GGA-PBE
State: optimized geometry

Results
Energy relative to the elements: 0.283 kcal/mol of atoms
N(E_F): 0.963 states/eV per atom
Offset from the most stable computed form: 0.1599 eV per atom
E_tot: -2.3968 eV/atom
Crystal system: trigonal
M_tot: 0.0000 μB/atom

abc: 4.0132 5.4531 5.4531
angles: 120.00 90.00 90.00
Fractional positions:
Sr (0.6495, 0.6667, 0.3333)
Tb (0.1276, 0.0000, 0.0000)
Cd (0.2229, 0.3333, 0.6667)

[25]
Material: SrTb3Cd4
Method: DFT, GGA-PBE
State: optimized geometry

Results
Energy relative to the elements: -6.836 kcal/mol of atoms
N(E_F): 0.890 states/eV per atom
E_tot: -2.7006 eV/atom
Crystal system: orthorhombic
M_tot: 0.0132 μB/atom

abc: 5.3870 7.6942 10.7744
angles: 90.00 90.00 90.00
Fractional positions:
Sr (0.0000, 0.5000, 0.0000)
Sr (0.0000, 0.5000, 0.5000)
Tb (0.0000, 0.0000, 0.0000)
Tb (0.0000, 0.0000, 0.5000)
Tb (0.5007, 0.0000, 0.7500)
Tb (0.4993, 0.0000, 0.2500)
Tb (0.5007, 0.5000, 0.7500)
Tb (0.4993, 0.5000, 0.2500)
Cd (0.5000, 0.7640, 0.0000)
Cd (0.5000, 0.7640, 0.5000)
Cd (0.5000, 0.2360, 0.0000)
Cd (0.5000, 0.2360, 0.5000)
Cd (0.0010, 0.7639, 0.7500)
Cd (0.9990, 0.7639, 0.2500)
Cd (0.9990, 0.2361, 0.2500)
Cd (0.0010, 0.2361, 0.7500)

[26]
Material: Sr4TbCd5
Method: DFT, GGA-PBE
State: optimized geometry

Results
Energy relative to the elements: -7.431 kcal/mol of atoms
N(E_F): 0.761 states/eV per atom
E_tot: -1.9156 eV/atom
Crystal system: tetragonal
M_tot: 0.0000 μB/atom

abc: 3.9708 3.9708 20.1604
angles: 90.00 90.00 90.00
Fractional positions:
Sr (0.0000, 0.0000, 0.1903)
Sr (0.0000, 0.0000, 0.3964)
Sr (0.0000, 0.0000, 0.6036)
Sr (0.0000, 0.0000, 0.8097)
Tb (0.0000, 0.0000, 0.0000)
Cd (0.5000, 0.5000, 0.0834)
Cd (0.5000, 0.5000, 0.2938)
Cd (0.5000, 0.5000, 0.5000)
Cd (0.5000, 0.5000, 0.7062)
Cd (0.5000, 0.5000, 0.9166)

[27]
Material: SrTbCd4
Method: DFT, GGA-PBE
State: optimized geometry

Results
Energy relative to the elements: -6.997 kcal/mol of atoms
N(E_F): 0.655 states/eV per atom
Offset from the most stable computed form: 0.0000 eV per atom
E_tot: -1.9655 eV/atom
Crystal system: orthorhombic
M_tot: 0.0000 μB/atom

abc: 3.5784 5.0678 8.8247
angles: 90.00 90.00 90.00
Fractional positions:
Sr (0.9987, 0.9973, 0.4981)
Tb (0.9986, 0.4973, 0.9981)
Cd (0.4986, 0.9973, 0.1588)
Cd (0.4985, 0.9973, 0.8375)
Cd (0.4986, 0.4973, 0.6722)
Cd (0.4986, 0.4973, 0.3240)

Ρ for every record listed, in sequence, given in g/cm³: 8.14, 6.30, 8.77, 8.43, 8.45, 8.64, 6.32, 8.61, 6.28, 8.55, 6.37, 6.66, 6.50, 8.17, 6.46, 4.72, 6.68, 7.76, 5.49, 5.00, 5.83, 7.70, 7.98, 5.77, 7.54, 5.60, 7.22.